P:
## VIn2S4 (PBE)

Data for VIn2S4 after structural relaxation.

## Properties
D(E_F): 4.23 states/eV per cell
M_tot: 0.32 μB per cell

abc: 4.431 4.431 8.400
angles: 74.71 74.71 90.00
Each line ends with the local moment (μB).
Element x y z (fractional)
1 S 0.161 0.161 0.677  0.00
2 S 0.000 0.500 0.000  -0.07
3 S 0.839 0.839 0.323  0.00
4 S 0.500 0.000 0.000  -0.07
5 In 0.660 0.660 0.681  -0.01
6 In 0.340 0.340 0.319  -0.01
7 V 0.000 0.000 0.000  0.51



Q:
## VIn2S4 (PBE)

Data for VIn2S4 after structural relaxation.

## Properties
D(E_F): 6.67 states/eV per cell
M_tot: 5.66 μB per cell

abc: 7.540 7.602 7.602
angles: 60.27 60.27 60.27
Each line ends with the local moment (μB).
Element x y z (fractional)
1 S 0.280 0.731 0.231  0.00
2 S 0.242 0.269 0.769  0.00
3 S 0.256 0.711 0.778  -0.03
4 S 0.744 0.722 0.789  -0.03
5 S 0.758 0.731 0.231  0.00
6 S 0.744 0.289 0.222  -0.03
7 S 0.256 0.278 0.211  -0.03
8 S 0.720 0.269 0.769  0.00
9 V 0.000 0.500 0.000  2.31
10 V 0.500 0.500 0.000  2.31
11 In 0.870 0.880 0.380  0.05
12 In 0.500 0.500 0.500  0.06
13 In 0.500 0.000 0.000  0.06
14 In 0.130 0.120 0.620  0.05



Result of the stability comparison: P is the least stable of them.



P:
## VIn2S2 (PBE)

Data for VIn2S2 after structural relaxation.

## Properties
D(E_F): 6.36 states/eV per cell
M_tot: 3.68 μB per cell

abc: 5.253 5.253 5.638
angles: 62.23 62.23 90.00
Each line ends with the local moment (μB).
Element x y z (fractional)
1 In 0.338 0.338 0.323  0.01
2 In 0.662 0.662 0.677  0.01
3 V 0.000 0.000 0.000  3.02
4 S 0.250 0.750 0.500  -0.01
5 S 0.750 0.250 0.500  -0.01



Q:
## VIn2S2 (PBE)

Data for VIn2S2 after structural relaxation.

## Properties
D(E_F): 7.53 states/eV per cell
M_tot: 7.72 μB per cell

abc: 7.679 7.679 3.782
angles: 90.00 90.00 90.00
Each line ends with the local moment (μB).
Element x y z (fractional)
1 In 0.127 0.373 0.000  0.04
2 In 0.373 0.873 0.000  0.04
3 In 0.873 0.627 0.000  0.04
4 In 0.627 0.127 0.000  0.04
5 S 0.790 0.290 0.500  -0.01
6 S 0.290 0.210 0.500  -0.01
7 S 0.710 0.790 0.500  -0.01
8 S 0.210 0.710 0.500  -0.01
9 V 0.000 0.000 0.000  3.01
10 V 0.500 0.500 0.000  3.01



Result of the stability comparison: Q is the least stable of them.



P:
## InW2S (PBE)

Data for InW2S after structural relaxation.

## Properties
D(E_F): 8.74 states/eV per cell
M_tot: 0.00 μB per cell

abc: 4.521 4.521 4.521
angles: 60.00 60.00 60.00
Element x y z (fractional)
1 W 0.250 0.250 0.250
2 W 0.750 0.750 0.750
3 S 0.000 0.000 0.000
4 In 0.500 0.500 0.500



Q:
## InW2S (PBE)

Data for InW2S after structural relaxation.

## Properties
D(E_F): 5.47 states/eV per cell
M_tot: 0.00 μB per cell

abc: 4.058 4.058 9.612
angles: 77.81 77.81 90.00
Element x y z (fractional)
1 In 0.000 0.000 0.000
2 In 0.750 0.250 0.500
3 S 0.500 0.500 0.000
4 S 0.250 0.750 0.500
5 W 0.184 0.625 0.250
6 W 0.875 0.816 0.750
7 W 0.375 0.434 0.750
8 W 0.566 0.125 0.250



Result of the stability comparison: P is the least stable of them.